Record 1
YZn2Mo PBE optimized geometry; offset from the most stable computed form = 146 meV/atom; total DFT energy (no corrections) = -4.80 eV/atom; crystal system = tetragonal; formation energy from the elements = 165.7 meV per atom; density of states at the Fermi level = 2.52 states/eV per cell
1.0
-0.8216 -0.7383 -2.8000
-0.4194 -2.8486 0.8742
-7.6260 1.6741 1.7964
Y Zn Mo
1 2 1
Direct
0.5000 0.5000 0.7557
0.0000 0.0000 0.0414
0.5000 0.5000 0.2408
0.0000 0.0000 0.4620

Record 2
YZnMo PBE optimized geometry; offset from the most stable computed form = 76 meV/atom; total DFT energy (no corrections) = -5.92 eV/atom; crystal system = orthorhombic; formation energy from the elements = 269.7 meV per atom; density of states at the Fermi level = 3.10 states/eV per cell
1.0
6.7995 -0.0186 0.0193
6.1455 2.9019 0.0291
0.6539 0.1215 2.9180
Zn Mo Y
1 1 1
Direct
0.6531 0.6531 0.3469
0.0141 0.0141 0.9859
0.3328 0.3328 0.6672

Record 3
YZnMo2 PBE optimized geometry; total DFT energy (no corrections) = -6.74 eV/atom; crystal system = trigonal; formation energy from the elements = 611.9 meV per atom; density of states at the Fermi level = 4.60 states/eV per cell
1.0
9.8740 -0.0728 -0.0426
9.4564 2.8418 -0.0426
9.4564 1.3546 2.4985
Mo Zn Y
2 1 1
Direct
0.4919 0.4919 0.4919
0.0081 0.0081 0.0081
0.7500 0.7500 0.7500
0.2500 0.2500 0.2500

Record 4
YZn2Mo PBE optimized geometry; offset from the most stable computed form = 148 meV/atom; total DFT energy (no corrections) = -4.79 eV/atom; crystal system = tetragonal; formation energy from the elements = 167.4 meV per atom; density of states at the Fermi level = 2.48 states/eV per cell
1.0
-3.3604 -2.4669 -3.3413
2.0391 -4.1772 -2.6335
-0.1653 1.5880 5.0984
Zn Mo Y
2 1 1
Direct
0.2500 0.7500 0.5000
0.0000 0.0000 0.0000
0.5000 0.5000 0.0000
0.7500 0.2500 0.5000

Record 5
YZn2Mo PBE optimized geometry; offset from the most stable computed form = 136 meV/atom; total DFT energy (no corrections) = -4.81 eV/atom; crystal system = monoclinic; formation energy from the elements = 155.1 meV per atom; density of states at the Fermi level = 3.13 states/eV per cell
1.0
-2.5550 3.5420 -3.4754
-4.8047 2.1443 -1.8628
-1.3402 4.3577 1.9073
Mo Y Zn
1 1 2
Direct
0.4822 0.4822 0.5188
0.2524 0.2524 0.2468
0.7421 0.7421 0.7567
0.0233 0.0233 0.9777

Record 6
YZn2Mo2 PBE optimized geometry; total DFT energy (no corrections) = -5.87 eV/atom; crystal system = tetragonal; formation energy from the elements = 264.2 meV per atom; density of states at the Fermi level = 6.05 states/eV per cell
1.0
4.2806 0.0000 0.0000
0.0000 4.2806 0.0000
2.1403 2.1403 5.3450
Zn Mo Y
2 2 1
Direct
0.2500 0.7500 0.5000
0.7500 0.2500 0.5000
0.3964 0.3964 0.2073
0.6036 0.6036 0.7927
0.0000 0.0000 0.0000

Record 7
YZnMo2 PBE optimized geometry; total DFT energy (no corrections) = -7.10 eV/atom; crystal system = tetragonal; formation energy from the elements = 251.1 meV per atom; density of states at the Fermi level = 3.47 states/eV per cell
1.0
-3.3279 0.9201 -0.2059
-0.6918 -2.8963 -1.7602
-1.1968 -3.0866 5.5493
Mo Zn Y
2 1 1
Direct
0.0000 0.0000 0.9268
0.0000 0.0000 0.5732
0.5000 0.5000 0.7500
0.5000 0.5000 0.2500

Record 8
YZnMo4 PBE optimized geometry; total DFT energy (no corrections) = -8.22 eV/atom; crystal system = cubic; formation energy from the elements = 295.0 meV per atom; density of states at the Fermi level = 7.92 states/eV per cell
1.0
0.0000 3.8084 3.8084
3.8084 0.0000 3.8084
3.8084 3.8084 0.0000
Mo Zn Y
4 1 1
Direct
0.3743 0.3743 0.3743
0.8771 0.3743 0.3743
0.3743 0.3743 0.8771
0.3743 0.8771 0.3743
0.0000 0.0000 0.0000
0.7500 0.7500 0.7500

Record 9
YZnMo2 PBE optimized geometry; total DFT energy (no corrections) = -7.08 eV/atom; crystal system = orthorhombic; formation energy from the elements = 272.5 meV per atom; density of states at the Fermi level = 3.61 states/eV per cell
1.0
2.9179 0.0104 0.0000
-1.0154 2.7355 0.0000
0.0000 0.0000 9.2336
Y Zn Mo
1 1 2
Direct
0.0000 0.0000 0.4965
0.5000 0.5000 0.7739
0.0000 0.0000 0.0078
0.5000 0.5000 0.2218

Record 10
YZn3Mo PBE optimized geometry; offset from the most stable computed form = 0 meV/atom; total DFT energy (no corrections) = -3.80 eV/atom; crystal system = cubic; formation energy from the elements = 423.9 meV per atom; density of states at the Fermi level = 5.11 states/eV per cell
1.0
-2.9615 1.6895 -3.3945
-3.7904 -1.4288 2.5958
-0.0965 4.2722 2.2106
Mo Zn Y
1 3 1
Direct
0.0000 0.0000 0.0000
0.0000 0.0000 0.5000
0.0000 0.5000 0.0000
0.5000 0.0000 0.0000
0.5000 0.5000 0.5000

Record 11
YZnMo PBE optimized geometry; offset from the most stable computed form = 978 meV/atom; total DFT energy (no corrections) = -5.02 eV/atom; crystal system = cubic; formation energy from the elements = 1171.9 meV per atom; density of states at the Fermi level = 0.96 states/eV per cell
1.0
4.7422 0.0000 0.0000
2.3711 4.1068 0.0000
2.3711 1.3689 3.8720
Zn Y Mo
1 1 1
Direct
0.0000 0.0000 0.0000
0.7500 0.7500 0.7500
0.5000 0.5000 0.5000

Record 12
YZnMo PBE optimized geometry; offset from the most stable computed form = 119 meV/atom; total DFT energy (no corrections) = -5.88 eV/atom; crystal system = trigonal; formation energy from the elements = 313.3 meV per atom; density of states at the Fermi level = 3.35 states/eV per cell
1.0
4.7650 0.0000 0.0000
-2.3825 4.1267 0.0000
0.0000 0.0000 3.0259
Mo Zn Y
1 1 1
Direct
0.0000 0.0000 0.8351
0.6667 0.3333 0.8314
0.3333 0.6667 0.3336